# 1
# TcSbMo, relaxed, DFT PBEsol
# Size of the total moment, μB/f.u.: 0.00
# Calculated volume, Å³/f.u.: 56.98
# Crystal system: cubic
# Polymorph energy (0 for the lowest one), eV per atom: 0.274
# Uncorrected formation energy, meV per atom: 383
data_TcSbMo
_cell_length_a 6.108
_cell_length_b 6.108
_cell_length_c 6.108
_cell_angle_alpha 90.00
_cell_angle_beta 90.00
_cell_angle_gamma 90.00
_symmetry_space_group_name_H-M 'F -4 3 m'
_symmetry_Int_Tables_number 216
_symmetry_space_group_name_Hall 'F -4 2 3'
loop_
_atom_site_label
_atom_site_fract_x
_atom_site_fract_y
_atom_site_fract_z
Tc1 0.000 0.000 0.000
Sb1 0.000 0.000 0.500
Mo1 0.250 0.250 0.750

# 2
# TcSb2Mo, relaxed, DFT PBEsol
# Size of the total moment, μB/f.u.: 0.00
# Calculated volume, Å³/f.u.: 83.10
# Crystal system: trigonal
# Polymorph energy (0 for the lowest one), eV per atom: 0.190
# Uncorrected formation energy, meV per atom: 240
data_TcSb2Mo
_cell_length_a 3.0543
_cell_length_b 3.0543
_cell_length_c 30.8591
_cell_angle_alpha 90.00
_cell_angle_beta 90.00
_cell_angle_gamma 120.00
_symmetry_space_group_name_H-M 'R 3 m'
_symmetry_Int_Tables_number 160
_symmetry_space_group_name_Hall 'R 3 -2"'
loop_
_atom_site_label
_atom_site_fract_x
_atom_site_fract_y
_atom_site_fract_z
Tc1 0.0000 0.0000 0.0000
Sb1 0.0000 0.0000 0.2622
Sb2 0.0000 0.0000 0.4694
Mo1 0.0000 0.0000 0.7292

# 3
# TcSbMo2, relaxed, DFT PBEsol
# Size of the total moment, μB/f.u.: 0.00
# Calculated volume, Å³/f.u.: 65.31
# Crystal system: monoclinic
# Uncorrected formation energy, meV per atom: 287
data_TcSbMo2
_cell_length_a 2.924
_cell_length_b 4.361
_cell_length_c 5.174
_cell_angle_alpha 90.00
_cell_angle_beta 98.14
_cell_angle_gamma 90.00
_symmetry_space_group_name_H-M 'P 1 m 1'
_symmetry_Int_Tables_number 6
loop_
_symmetry_equiv_pos_as_xyz
'x,y,z'
'x,-y,z'
loop_
_atom_site_label
_atom_site_fract_x
_atom_site_fract_y
_atom_site_fract_z
Tc1 0.000 0.000 0.000
Sb1 0.010 0.500 0.710
Mo1 0.419 0.000 0.463
Mo2 0.637 0.500 0.202

# 4
# TcSb2Mo, relaxed, DFT PBEsol
# Size of the total moment, μB/f.u.: 0.00
# Calculated volume, Å³/f.u.: 71.63
# Crystal system: monoclinic
# Polymorph energy (0 for the lowest one), eV per atom: 0.277
# Uncorrected formation energy, meV per atom: 328
data_TcSb2Mo
_cell_length_a 8.483
_cell_length_b 3.138
_cell_length_c 5.507
_cell_angle_alpha 90.00
_cell_angle_beta 102.21
_cell_angle_gamma 90.00
_symmetry_space_group_name_H-M 'C 1 2/m 1'
_symmetry_Int_Tables_number 12
loop_
_symmetry_equiv_pos_as_xyz
'x,y,z'
'-x,-y,-z'
'-x,y,-z'
'x,-y,z'
'x+1/2,y+1/2,z'
'-x+1/2,-y+1/2,-z'
'-x+1/2,y+1/2,-z'
'x+1/2,-y+1/2,z'
loop_
_atom_site_label
_atom_site_fract_x
_atom_site_fract_y
_atom_site_fract_z
Tc1 0.000 0.000 0.000
Sb1 0.248 0.500 0.246
Mo1 0.000 0.500 0.500

# 5
# TcSb2Mo, relaxed, DFT PBEsol
# Size of the total moment, μB/f.u.: 0.00
# Calculated volume, Å³/f.u.: 77.53
# Crystal system: tetragonal
# Polymorph energy (0 for the lowest one), eV per atom: 0.000
# Uncorrected formation energy, meV per atom: 51
data_TcSb2Mo
_cell_length_a 3.093
_cell_length_b 3.093
_cell_length_c 8.106
_cell_angle_alpha 90.00
_cell_angle_beta 90.00
_cell_angle_gamma 90.00
_symmetry_space_group_name_H-M 'P 4 m m'
_symmetry_Int_Tables_number 99
loop_
_symmetry_equiv_pos_as_xyz
'x,y,z'
'-y,x,z'
'-x,-y,z'
'y,-x,z'
'-x,y,z'
'y,x,z'
'x,-y,z'
'-y,-x,z'
loop_
_atom_site_label
_atom_site_fract_x
_atom_site_fract_y
_atom_site_fract_z
Tc1 0.000 0.000 0.000
Sb1 0.000 0.000 0.421
Sb2 0.500 0.500 0.782
Mo1 0.500 0.500 0.187

# 6
# TcSbMo, relaxed, DFT PBEsol
# Size of the total moment, μB/f.u.: 0.00
# Calculated volume, Å³/f.u.: 56.13
# Crystal system: cubic
# Polymorph energy (0 for the lowest one), eV per atom: 0.000
# Uncorrected formation energy, meV per atom: 109
data_TcSbMo
_cell_length_a 6.078
_cell_length_b 6.078
_cell_length_c 6.078
_cell_angle_alpha 90.00
_cell_angle_beta 90.00
_cell_angle_gamma 90.00
_symmetry_space_group_name_H-M 'F -4 3 m'
_symmetry_Int_Tables_number 216
_symmetry_space_group_name_Hall 'F -4 2 3'
loop_
_atom_site_label
_atom_site_fract_x
_atom_site_fract_y
_atom_site_fract_z
Tc1 0.000 0.000 0.000
Sb1 0.250 0.250 0.250
Mo1 0.250 0.250 0.750

# 7
# TcSb2Mo, relaxed, DFT PBEsol
# Size of the total moment, μB/f.u.: 0.00
# Calculated volume, Å³/f.u.: 70.56
# Crystal system: monoclinic
# Polymorph energy (0 for the lowest one), eV per atom: 0.108
# Uncorrected formation energy, meV per atom: 159
data_TcSb2Mo
_cell_length_a 9.487
_cell_length_b 3.253
_cell_length_c 4.797
_cell_angle_alpha 90.00
_cell_angle_beta 107.61
_cell_angle_gamma 90.00
_symmetry_space_group_name_H-M 'C 1 m 1'
_symmetry_Int_Tables_number 8
loop_
_symmetry_equiv_pos_as_xyz
'x,y,z'
'x,-y,z'
'x+1/2,y+1/2,z'
'x+1/2,-y+1/2,z'
loop_
_atom_site_label
_atom_site_fract_x
_atom_site_fract_y
_atom_site_fract_z
Tc1 0.000 0.000 0.000
Sb1 0.257 0.000 0.869
Sb2 0.487 0.000 0.504
Mo1 0.242 0.500 0.369

# 8
# Tc2SbMo, relaxed, DFT PBEsol
# Size of the total moment, μB/f.u.: 0.00
# Calculated volume, Å³/f.u.: 64.58
# Crystal system: trigonal
# Uncorrected formation energy, meV per atom: 330
data_Tc2SbMo
_cell_length_a 2.9679
_cell_length_b 2.9679
_cell_length_c 25.3999
_cell_angle_alpha 90.00
_cell_angle_beta 90.00
_cell_angle_gamma 120.00
_symmetry_space_group_name_H-M 'R -3 m'
_symmetry_Int_Tables_number 166
_symmetry_space_group_name_Hall '-R 3 2"'
loop_
_atom_site_label
_atom_site_fract_x
_atom_site_fract_y
_atom_site_fract_z
Tc1 0.0000 0.0000 0.2459
Sb1 0.0000 0.0000 0.0000
Mo1 0.0000 0.0000 0.5000